# V3Cr2Ru2

An optimized crystal structure of V3Cr2Ru2 (PBE, the Alexandria database).

Calculated values
Energy: -65.13 eV/cell
N(E_F): 8.08 states/eV/cell
Formation enthalpy at 0 K: 0.00 eV/atom

Cell lengths 3.0376, 2.9497, 10.5315 Å; angles 90.00, 81.71, 90.00 degrees
Atoms (fractional coordinates):
Ru 0.4278 0.5000 0.1445
Cr 0.2908 0.5000 0.4185
V 0.1504 0.0000 0.6992
V 0.8496 0.0000 0.3008
Cr 0.7092 0.5000 0.5815
Ru 0.5722 0.5000 0.8555
V 0.0000 0.0000 0.0000

# InSi3C

An optimized crystal structure of InSi3C (PBE, the Alexandria database).

Calculated values
Excess energy over the best structure of this formula in the dataset: 0.000 eV/atom
Energy: -23.65 eV/cell
N(E_F): 2.48 states/eV/cell

Cell lengths 4.2098, 4.2098, 4.2098 Å; angles 90.00, 90.00, 90.00 degrees
Atoms (fractional coordinates):
C 0.0000 0.0000 0.0000
Si 0.0000 0.0000 0.5000
Si 0.0000 0.5000 0.0000
In 0.5000 0.5000 0.5000
Si 0.5000 0.0000 0.0000

# Pm3PrCd4

An optimized crystal structure of Pm3PrCd4 (PBE, the Alexandria database).

Calculated values
Energy: -50.50 eV/cell
N(E_F): 18.25 states/eV/cell
Formation enthalpy at 0 K: -0.32 eV/atom

Cell lengths 5.4140, 7.7531, 10.8266 Å; angles 90.00, 90.00, 90.00 degrees
Each line ends with the local moment (μB).
Atoms (fractional coordinates):
Cd 0.0015 0.7534 0.7500  0.01
Cd 0.5000 0.7533 0.0000  0.01
Cd 0.5000 0.7533 0.5000  0.01
Pr 0.0000 0.5000 0.0000  0.19
Pr 0.0000 0.5000 0.5000  0.19
Cd 0.5000 0.2467 0.5000  0.01
Pm 0.0000 0.0000 0.5000  0.19
Pm 0.4988 0.0000 0.2500  0.19
Cd 0.5000 0.2467 0.0000  0.01
Cd 0.0015 0.2466 0.7500  0.01
Pm 0.5013 0.5000 0.7500  0.20
Pm 0.0000 0.0000 0.0000  0.19
Pm 0.5012 0.0000 0.7500  0.19
Pm 0.4987 0.5000 0.2500  0.20
Cd 0.9985 0.7534 0.2500  0.01
Cd 0.9985 0.2466 0.2500  0.01

# InCoSb3

An optimized crystal structure of InCoSb3 (PBE, the Alexandria database).

Calculated values
Energy: -20.72 eV/cell
N(E_F): 7.24 states/eV/cell

Cell lengths 5.0266, 5.0266, 5.0266 Å; angles 90.00, 90.00, 90.00 degrees
Atoms (fractional coordinates):
Co 0.0000 0.0000 0.0000
Sb 0.5000 0.0000 0.0000
Sb 0.0000 0.5000 0.0000
Sb 0.0000 0.0000 0.5000
In 0.5000 0.5000 0.5000